(1)
The following is a DFT calculation (PBE) of a geometry-optimized CePdS2 structure.

abc: 3.6837 3.6837 23.7524
angles: 90.00 90.00 120.00
Space group R-3m (No. 166, hexagonal axes)
One atom of each set of equivalent atoms:
Ce 0.0000 0.0000 0.0000 (multiplicity 3)
Pd 0.0000 0.0000 0.5000 (multiplicity 3)
S 0.0000 0.0000 0.1138 (multiplicity 6)

ΔE_f (raw): -317 meV per atom
density: 5.54 g cm⁻³
magnetization: 3.57 Bohr magnetons per cell


(2)
The following is a DFT calculation (PBE) of a geometry-optimized Ce2PdS5 structure.

abc: 7.571 10.654 3.958
angles: 90.00 90.00 90.00
Space group Pbam (No. 55)
One atom of each set of equivalent atoms:
Ce 0.088 0.172 0.000 (multiplicity 4)
Pd 0.000 0.500 0.500 (multiplicity 2)
S 0.000 0.000 0.500 (multiplicity 2)
S 0.135 0.705 0.500 (multiplicity 4)
S 0.188 0.438 0.000 (multiplicity 4)

ΔE_f (raw): -1355 meV per atom
density: 5.69 g cm⁻³
magnetization: 2.40 Bohr magnetons per cell


(3)
The following is a DFT calculation (PBE) of a geometry-optimized CePdS2 structure.

abc: 4.0666 4.0666 19.3527
angles: 90.00 90.00 120.00
Space group R3m (No. 160, hexagonal axes)
One atom of each set of equivalent atoms:
Ce 0.0000 0.0000 0.0000 (multiplicity 3)
Pd 0.0000 0.0000 0.2260 (multiplicity 3)
S 0.0000 0.0000 0.5708 (multiplicity 3)
S 0.0000 0.0000 0.7434 (multiplicity 3)

ΔE_f (raw): -1167 meV per atom
density: 5.58 g cm⁻³
magnetization: 0.96 Bohr magnetons per cell


(4)
The following is a DFT calculation (PBE) of a geometry-optimized CePd2S4 structure.

abc: 3.882 11.784 11.656
angles: 90.00 90.00 90.00
Space group Cmcm (No. 63)
One atom of each set of equivalent atoms:
Ce 0.000 0.124 0.250 (multiplicity 4)
Pd 0.000 0.367 0.070 (multiplicity 8)
S 0.000 0.000 0.000 (multiplicity 4)
S 0.000 0.272 0.612 (multiplicity 8)
S 0.000 0.459 0.250 (multiplicity 4)

ΔE_f (raw): -836 meV per atom
density: 6.00 g cm⁻³
magnetization: 0.94 Bohr magnetons per cell


(5)
The following is a DFT calculation (PBE) of a geometry-optimized CePdS2 structure.

abc: 6.703 6.977 6.927
angles: 90.00 99.11 90.00
Space group P2_1/c (No. 14)
One atom of each set of equivalent atoms:
Ce 0.208 0.054 0.299 (multiplicity 4)
Pd 0.285 0.583 0.293 (multiplicity 4)
S 0.079 0.735 0.508 (multiplicity 4)
S 0.436 0.175 0.650 (multiplicity 4)

ΔE_f (raw): -1401 meV per atom
density: 6.45 g cm⁻³
magnetization: 0.63 Bohr magnetons per cell


(6)
The following is a DFT calculation (PBE) of a geometry-optimized Ce2ScPdS5 structure.

abc: 3.832 16.358 11.621
angles: 90.00 90.00 90.00
Space group Cmc2_1 (No. 36)
One atom of each set of equivalent atoms:
Ce 0.000 0.115 0.000 (multiplicity 4)
Ce 0.000 0.123 0.623 (multiplicity 4)
Sc 0.000 0.190 0.320 (multiplicity 4)
Pd 0.000 0.440 0.749 (multiplicity 4)
S 0.000 0.040 0.370 (multiplicity 4)
S 0.000 0.293 0.974 (multiplicity 4)
S 0.000 0.304 0.660 (multiplicity 4)
S 0.000 0.350 0.313 (multiplicity 4)
S 0.000 0.496 0.069 (multiplicity 4)

ΔE_f (raw): -1666 meV per atom
density: 5.40 g cm⁻³
magnetization: 4.89 Bohr magnetons per cell


(7)
The following is a DFT calculation (PBE) of a geometry-optimized SrCePdS4 structure.

abc: 6.578 14.353 6.767
angles: 90.00 90.00 90.00
Space group Cmcm (No. 63)
One atom of each set of equivalent atoms:
Sr 0.000 0.108 0.250 (multiplicity 4)
Ce 0.000 0.376 0.250 (multiplicity 4)
Pd 0.000 0.256 0.750 (multiplicity 4)
S 0.000 0.088 0.750 (multiplicity 4)
S 0.000 0.434 0.750 (multiplicity 4)
S 0.250 0.250 0.000 (multiplicity 8)

ΔE_f (raw): -1273 meV per atom
density: 4.81 g cm⁻³
magnetization: 2.39 Bohr magnetons per cell


(8)
The following is a DFT calculation (PBE) of a geometry-optimized CeTa3Pd4S12 structure.

abc: 12.9285 12.9285 9.3241
angles: 90.00 90.00 120.00
Space group R32 (No. 155, hexagonal axes)
One atom of each set of equivalent atoms:
Ce 0.0000 0.0000 0.0000 (multiplicity 3)
Ta 0.0000 0.5562 0.0000 (multiplicity 9)
Pd 0.0000 0.0000 0.5000 (multiplicity 3)
Pd 0.0000 0.4163 0.5000 (multiplicity 9)
S 0.0000 0.5995 0.5000 (multiplicity 9)
S 0.0000 0.8252 0.5000 (multiplicity 9)
S 0.0544 0.1890 0.1971 (multiplicity 18)

ΔE_f (raw): -569 meV per atom
density: 5.51 g cm⁻³
magnetization: 0.93 Bohr magnetons per cell


(9)
The following is a DFT calculation (PBE) of a geometry-optimized TbCe2PdS5 structure.

abc: 3.883 16.426 11.971
angles: 90.00 90.00 90.00
Space group Cmc2_1 (No. 36)
One atom of each set of equivalent atoms:
Tb 0.000 0.176 0.000 (multiplicity 4)
Ce 0.000 0.110 0.326 (multiplicity 4)
Ce 0.000 0.121 0.671 (multiplicity 4)
Pd 0.000 0.448 0.394 (multiplicity 4)
S 0.000 0.007 0.997 (multiplicity 4)
S 0.000 0.305 0.663 (multiplicity 4)
S 0.000 0.306 0.332 (multiplicity 4)
S 0.000 0.342 0.996 (multiplicity 4)
S 0.000 0.496 0.714 (multiplicity 4)

ΔE_f (raw): -1716 meV per atom
density: 6.14 g cm⁻³
magnetization: 4.50 Bohr magnetons per cell


(10)
The following is a DFT calculation (PBE) of a geometry-optimized CeTePdS structure.

abc: 4.478 4.478 8.871
angles: 90.00 90.00 90.00
Space group P4/nmm (No. 129, origin choice 2)
One atom of each set of equivalent atoms:
Ce 0.250 0.250 0.187 (multiplicity 2)
Te 0.250 0.250 0.677 (multiplicity 2)
Pd 0.250 0.750 0.500 (multiplicity 2)
S 0.250 0.750 0.000 (multiplicity 2)

ΔE_f (raw): -1242 meV per atom
density: 7.58 g cm⁻³
magnetization: 0.40 Bohr magnetons per cell


(11)
The following is a DFT calculation (PBE) of a geometry-optimized Ce2ThPdS4 structure.

abc: 6.917 6.917 6.841
angles: 90.00 90.00 90.00
Space group I-42m (No. 121)
One atom of each set of equivalent atoms:
Ce 0.000 0.500 0.000 (multiplicity 4)
Th 0.000 0.000 0.000 (multiplicity 2)
Pd 0.000 0.000 0.500 (multiplicity 2)
S 0.212 0.212 0.289 (multiplicity 8)

ΔE_f (raw): -1524 meV per atom
density: 7.58 g cm⁻³
magnetization: 3.91 Bohr magnetons per cell


(12)
The following is a DFT calculation (PBE) of a geometry-optimized Ce2TiPdS5 structure.

abc: 3.800 16.373 11.428
angles: 90.00 90.00 90.00
Space group Cmc2_1 (No. 36)
One atom of each set of equivalent atoms:
Ce 0.000 0.114 0.000 (multiplicity 4)
Ce 0.000 0.126 0.617 (multiplicity 4)
Ti 0.000 0.189 0.317 (multiplicity 4)
Pd 0.000 0.432 0.744 (multiplicity 4)
S 0.000 0.048 0.367 (multiplicity 4)
S 0.000 0.291 0.965 (multiplicity 4)
S 0.000 0.300 0.664 (multiplicity 4)
S 0.000 0.348 0.312 (multiplicity 4)
S 0.000 0.494 0.068 (multiplicity 4)

ΔE_f (raw): -1527 meV per atom
density: 5.56 g cm⁻³
magnetization: 6.51 Bohr magnetons per cell


(13)
The following is a DFT calculation (PBE) of a geometry-optimized Ce3Tl3PdS8 structure.

abc: 13.776 8.047 8.855
angles: 90.00 121.20 90.00
Space group C2/m (No. 12)
One atom of each set of equivalent atoms:
Ce 0.000 0.000 0.000 (multiplicity 2)
Ce 0.250 0.250 0.000 (multiplicity 4)
Tl 0.000 0.500 0.500 (multiplicity 2)
Tl 0.250 0.250 0.500 (multiplicity 4)
Pd 0.000 0.500 0.000 (multiplicity 2)
S 0.019 0.250 0.804 (multiplicity 8)
S 0.209 0.500 0.179 (multiplicity 4)
S 0.235 0.000 0.205 (multiplicity 4)

ΔE_f (raw): -1132 meV per atom
density: 5.52 g cm⁻³
magnetization: 2.16 Bohr magnetons per cell


(14)
The following is a DFT calculation (PBE) of a geometry-optimized CeTlPdS3 structure.

abc: 8.636 4.154 9.144
angles: 90.00 106.12 90.00
Space group P2_1/m (No. 11)
One atom of each set of equivalent atoms:
Ce 0.182 0.250 0.162 (multiplicity 2)
Tl 0.307 0.750 0.773 (multiplicity 2)
Pd 0.403 0.750 0.427 (multiplicity 2)
S 0.039 0.250 0.848 (multiplicity 2)
S 0.294 0.250 0.471 (multiplicity 2)
S 0.375 0.750 0.136 (multiplicity 2)

ΔE_f (raw): -1052 meV per atom
density: 5.77 g cm⁻³
magnetization: 0.10 Bohr magnetons per cell


(15)
The following is a DFT calculation (PBE) of a geometry-optimized Ce2Tl3PdS6 structure.

abc: 6.786 12.108 7.823
angles: 90.00 106.24 90.00
Space group C2/m (No. 12)
One atom of each set of equivalent atoms:
Ce 0.000 0.166 0.000 (multiplicity 4)
Tl 0.000 0.000 0.500 (multiplicity 2)
Tl 0.000 0.338 0.500 (multiplicity 4)
Pd 0.000 0.500 0.000 (multiplicity 2)
S 0.241 0.326 0.209 (multiplicity 8)
S 0.250 0.000 0.182 (multiplicity 4)

ΔE_f (raw): -1001 meV per atom
density: 6.42 g cm⁻³
magnetization: 0.32 Bohr magnetons per cell


(16)
The following is a DFT calculation (PBE) of a geometry-optimized Ce3Tl4PdS8 structure.

abc: 14.431 7.909 8.801
angles: 90.00 120.98 90.00
Space group C2/m (No. 12)
One atom of each set of equivalent atoms:
Ce 0.000 0.000 0.000 (multiplicity 2)
Ce 0.250 0.250 0.000 (multiplicity 4)
Tl 0.000 0.000 0.500 (multiplicity 2)
Tl 0.000 0.500 0.500 (multiplicity 2)
Tl 0.250 0.250 0.500 (multiplicity 4)
Pd 0.000 0.500 0.000 (multiplicity 2)
S 0.021 0.273 0.820 (multiplicity 8)
S 0.229 0.000 0.203 (multiplicity 4)
S 0.236 0.000 0.776 (multiplicity 4)

ΔE_f (raw): -1106 meV per atom
density: 6.17 g cm⁻³
magnetization: 3.50 Bohr magnetons per cell


(17)
The following is a DFT calculation (PBE) of a geometry-optimized Ce2Tl2PdS6 structure.

abc: 6.821 11.710 7.887
angles: 90.00 106.37 90.00
Space group C2/m (No. 12)
One atom of each set of equivalent atoms:
Ce 0.000 0.170 0.000 (multiplicity 4)
Tl 0.000 0.334 0.500 (multiplicity 4)
Pd 0.000 0.500 0.000 (multiplicity 2)
S 0.236 0.500 0.822 (multiplicity 4)
S 0.240 0.333 0.204 (multiplicity 8)

ΔE_f (raw): -1040 meV per atom
density: 5.43 g cm⁻³
magnetization: 0.02 Bohr magnetons per cell


(18)
The following is a DFT calculation (PBE) of a geometry-optimized CeTlPdS3 structure.

abc: 4.100 10.763 6.845
angles: 90.00 107.38 90.00
Space group P2_1/m (No. 11)
One atom of each set of equivalent atoms:
Ce 0.000 0.000 0.000 (multiplicity 2)
Tl 0.259 0.250 0.522 (multiplicity 2)
Pd 0.423 0.750 0.844 (multiplicity 2)
S 0.037 0.750 0.074 (multiplicity 2)
S 0.365 0.538 0.730 (multiplicity 4)

ΔE_f (raw): -1053 meV per atom
density: 6.30 g cm⁻³
magnetization: 0.00 Bohr magnetons per cell


(19)
The following is a DFT calculation (PBE) of a geometry-optimized CeTlPdS2 structure.

abc: 7.504 4.856 7.840
angles: 90.00 101.86 90.00
Space group P2/c (No. 13)
One atom of each set of equivalent atoms:
Ce 0.000 0.012 0.250 (multiplicity 2)
Tl 0.500 0.338 0.750 (multiplicity 2)
Pd 0.000 0.500 0.000 (multiplicity 2)
S 0.245 0.190 0.043 (multiplicity 4)

ΔE_f (raw): -958 meV per atom
density: 6.12 g cm⁻³
magnetization: 1.91 Bohr magnetons per cell


(20)
The following is a DFT calculation (PBE) of a geometry-optimized Ce2TmPdS4 structure.

abc: 6.835 6.835 6.777
angles: 90.00 90.00 90.00
Space group I-42m (No. 121)
One atom of each set of equivalent atoms:
Ce 0.000 0.500 0.000 (multiplicity 4)
Tm 0.000 0.000 0.000 (multiplicity 2)
Pd 0.000 0.000 0.500 (multiplicity 2)
S 0.204 0.204 0.277 (multiplicity 8)

ΔE_f (raw): -1530 meV per atom
density: 7.17 g cm⁻³
magnetization: 4.44 Bohr magnetons per cell